First-principles (PBE) data for crystalline AgSnO3 at its relaxed geometry, as listed in OQMD.

The structure in POSCAR format:
```
AgSnO3
1.0
-1.227 -1.857 -5.115
-0.159 3.593 -4.265
3.992 -0.175 -3.893
Ag Sn O
2 2 6
direct
0.750 0.750 0.750
0.250 0.250 0.250
0.500 0.500 0.500
0.000 0.000 0.000
0.361 0.139 0.750
0.750 0.361 0.139
0.250 0.639 0.861
0.861 0.250 0.639
0.139 0.750 0.361
0.639 0.861 0.250
```

Computed properties:
Energy   -51.388 eV for the cell shown
Density   7.35 g/cm3
SG   R-3c



First-principles (PBE) data for crystalline SmS2 at its relaxed geometry, as listed in OQMD.

The structure in POSCAR format:
```
SmS2
1.0
4.634 -3.375 6.433
7.408 -4.062 -1.696
7.499 3.595 2.255
Sm S
2 4
direct
0.500 0.500 0.500
0.250 0.250 0.250
0.375 0.375 0.875
0.875 0.375 0.375
0.375 0.875 0.375
0.375 0.375 0.375
```

Computed properties:
Energy   -31.273 eV for the cell shown
Density   1.57 g/cm3
SG   Fd-3m



First-principles (PBE) data for crystalline PmSnPt at its relaxed geometry, as listed in OQMD.

The structure in POSCAR format:
```
PmSnPt
1.0
0.000 3.381 3.381
3.381 0.000 3.381
3.381 3.381 0.000
Pm Pt Sn
1 1 1
direct
0.250 0.250 0.250
0.000 0.000 0.000
0.750 0.750 0.750
```

Computed properties:
Energy   -17.685 eV for the cell shown
Excess energy over the best structure of this formula in the dataset   0.021 eV per atom
Density   9.86 g/cm3
SG   F-43m



First-principles (PBE) data for crystalline Zr3Al3CoIr2 at its relaxed geometry, as listed in OQMD.

The structure in POSCAR format:
```
Zr3Al3CoIr2
1.0
7.130 0.000 0.000
-3.565 6.174 0.000
0.000 0.000 3.483
Ir Zr Al Co
2 3 3 1
direct
0.667 0.333 0.000
0.333 0.667 0.000
0.000 0.598 0.500
0.402 0.402 0.500
0.598 0.000 0.500
0.754 0.754 0.000
0.246 0.000 0.000
0.000 0.246 0.000
0.000 0.000 0.500
```

Computed properties:
Energy   -68.806 eV for the cell shown
Density   8.64 g/cm3
SG   P-62m



First-principles (PBE) data for crystalline Ho3ZrSi4 at its relaxed geometry, as listed in OQMD.

The structure in POSCAR format:
```
Ho3ZrSi4
1.0
5.584 0.000 0.000
0.000 3.795 0.000
-0.112 0.000 7.676
Si Ho Zr
4 3 1
direct
0.634 0.500 0.548
0.862 0.500 0.031
0.131 0.000 0.959
0.373 0.000 0.466
0.384 0.500 0.177
0.879 0.000 0.321
0.120 0.500 0.681
0.617 0.000 0.819
```

Computed properties:
Energy   -50.588 eV for the cell shown
Density   7.13 g/cm3
SG   Pm



First-principles (PBE) data for crystalline Sr2NbO4 at its relaxed geometry, as listed in OQMD.

The structure in POSCAR format:
```
Sr2NbO4
1.0
4.895 -4.896 0.000
-4.895 0.000 -4.896
4.895 4.896 0.000
O Sr Nb
8 4 2
direct
0.087 0.725 0.362
0.638 0.275 0.913
0.112 0.225 0.888
0.638 0.725 0.362
0.112 0.775 0.888
0.638 0.275 0.362
0.112 0.225 0.337
0.663 0.775 0.888
0.375 0.750 0.625
0.375 0.750 0.125
0.375 0.250 0.625
0.875 0.250 0.625
0.000 0.000 0.000
0.750 0.500 0.250
```

Computed properties:
Energy   -102.397 eV for the cell shown
Density   4.70 g/cm3
SG   Fd-3m



First-principles (PBE) data for crystalline SrGdPO at its relaxed geometry, as listed in OQMD.

The structure in POSCAR format:
```
SrGdPO
1.0
-2.889 0.801 4.588
3.561 -3.100 2.784
3.108 4.606 1.153
P O Gd Sr
2 2 2 2
direct
0.750 0.750 0.499
0.250 0.250 0.501
0.250 0.750 0.000
0.750 0.250 0.000
0.750 0.250 0.500
0.250 0.750 0.500
0.250 0.250 0.001
0.750 0.750 0.999
```

Computed properties:
Energy   -48.772 eV for the cell shown
Excess energy over the best structure of this formula in the dataset   0.122 eV per atom
Density   5.69 g/cm3
SG   P4/mmm



First-principles (PBE) data for crystalline NaNiAuSe2S at its relaxed geometry, as listed in OQMD.

The structure in POSCAR format:
```
NaNiAuSe2S
1.0
-0.772 5.564 -4.834
-1.292 -3.253 6.532
8.110 4.439 3.814
Ni Na S Au Se
2 2 2 2 4
direct
0.500 0.500 0.000
0.500 0.500 0.500
0.790 0.210 0.750
0.210 0.790 0.250
0.545 0.455 0.250
0.455 0.545 0.750
0.878 0.122 0.250
0.122 0.878 0.750
0.112 0.888 0.507
0.888 0.112 0.007
0.888 0.112 0.493
0.112 0.888 0.993
```

Computed properties:
Energy   -45.204 eV for the cell shown
Density   6.12 g/cm3
SG   Cmcm



First-principles (PBE) data for crystalline SrHoAuSeS2 at its relaxed geometry, as listed in OQMD.

The structure in POSCAR format:
```
SrHoAuSeS2
1.0
2.014 -6.840 0.000
2.014 6.840 0.000
0.000 0.000 10.571
Sr S Se Au Ho
2 4 2 2 2
direct
0.766 0.234 0.750
0.234 0.766 0.250
0.366 0.634 0.556
0.366 0.634 0.944
0.634 0.366 0.444
0.634 0.366 0.056
0.904 0.096 0.250
0.096 0.904 0.750
0.467 0.533 0.750
0.533 0.467 0.250
0.000 0.000 0.500
0.000 0.000 0.000
```

Computed properties:
Energy   -60.570 eV for the cell shown
Density   6.76 g/cm3
SG   Cmcm



First-principles (PBE) data for crystalline PrAl at its relaxed geometry, as listed in OQMD.

The structure in POSCAR format:
```
PrAl
1.0
-2.805 4.179 1.968
2.018 -3.722 3.359
5.266 3.302 0.495
Pr Al
2 2
direct
0.000 0.000 0.438
0.333 0.667 0.938
0.000 0.000 0.937
0.333 0.667 0.437
```

Computed properties:
Energy   -14.857 eV for the cell shown
Density   3.54 g/cm3
SG   P6_3/mmc



First-principles (PBE) data for crystalline Ho2ErFe2CoNi6 at its relaxed geometry, as listed in OQMD.

The structure in POSCAR format:
```
Ho2ErFe2CoNi6
1.0
2.476 1.430 8.069
-2.476 1.430 8.069
0.000 -2.859 8.069
Fe Ni Co Ho Er
2 6 1 2 1
direct
0.333 0.333 0.333
0.667 0.667 0.667
0.581 0.083 0.581
0.083 0.581 0.581
0.419 0.419 0.917
0.419 0.917 0.419
0.581 0.581 0.083
0.917 0.419 0.419
0.500 0.500 0.500
0.139 0.139 0.139
0.861 0.861 0.861
0.000 0.000 0.000
```

Computed properties:
Energy   -74.673 eV for the cell shown
Density   9.88 g/cm3
SG   R-3m



First-principles (PBE) data for crystalline RbTaPd at its relaxed geometry, as listed in OQMD.

The structure in POSCAR format:
```
RbTaPd
1.0
0.000 3.313 3.313
3.313 0.000 3.313
3.313 3.313 0.000
Ta Rb Pd
1 1 1
direct
0.750 0.750 0.750
0.000 0.000 0.000
0.250 0.250 0.250
```

Computed properties:
Energy   -10.601 eV for the cell shown
Density   8.51 g/cm3
SG   F-43m